1.
VASP calculation (PBE) on a relaxed ZrBeIn crystal.

abc: 6.0464 6.0014 3.1166
angles: 75.81 74.21 29.98
Closest atoms and distances in Å follow each position.
Fractional coordinates of all 3 atoms:
In (0.3538, 0.3538, 0.6462)  4 Be 2.69-2.79
Be (0.9987, 0.9987, 0.0013)  4 In 2.69-2.79, 4 Zr 2.71-2.81
Zr (0.6475, 0.6475, 0.3525)  4 Be 2.71-2.81

ΔH_f (0 K), eV/f.u.: 0.06
Theoretical density, kg/m3: 6568
Relative energy among the computed polymorphs, eV per formula unit: 0.63


2.
VASP calculation (PBE) on a relaxed Ce2BeP4Ir3 crystal.

abc: 4.1775 4.1775 9.3867
angles: 90.00 90.00 90.00
Closest atoms and distances in Å follow each position.
Fractional coordinates of all 10 atoms:
P (0.5000, 0.5000, 0.0000)  4 Ir 2.35
Ir (0.0000, 0.5000, 0.1148)  5 P 2.35-2.39
P (0.0000, 0.5000, 0.3691)  3 Ir 2.39-2.42, 2 Be 2.42
Be (0.5000, 0.5000, 0.5000)  4 P 2.42
Ce (0.0000, 0.5000, 0.7512)  8 P 3.13-3.16, 2 Be 3.15, 7 Ir 3.15-3.41
P (0.5000, 0.0000, 0.6309)  3 Ir 2.39-2.42, 2 Be 2.42
Ir (0.0000, 0.0000, 0.5000)  4 P 2.42
Ir (0.5000, 0.0000, 0.8852)  5 P 2.35-2.39
Ce (0.5000, 0.0000, 0.2488)  8 P 3.13-3.16, 2 Be 3.15, 7 Ir 3.15-3.41
P (0.0000, 0.0000, 0.0000)  4 Ir 2.35

ΔH_f (0 K), eV/f.u.: -9.27
Theoretical density, kg/m3: 10033


3.
VASP calculation (PBE) on a relaxed NpAlOs2 crystal.

abc: 3.6025 4.2894 4.2894
angles: 90.00 90.00 90.00
Closest atoms and distances in Å follow each position.
Fractional coordinates of all 4 atoms:
Al (0.5000, 0.0000, 0.0000)  8 Os 2.80, 4 Np 3.03
Os (0.0000, 0.0000, 0.5000)  4 Al 2.80, 4 Np 2.80, 4 Os 3.03
Os (0.0000, 0.5000, 0.0000)  4 Np 2.80, 4 Al 2.80, 4 Os 3.03
Np (0.5000, 0.5000, 0.5000)  8 Os 2.80, 4 Al 3.03

ΔH_f (0 K), eV/f.u.: -0.34
Theoretical density, kg/m3: 16145
Relative energy among the computed polymorphs, eV per formula unit: 0.00


4.
VASP calculation (PBE) on a relaxed Re2SeCl crystal.

abc: 5.2326 5.2326 5.2326
angles: 148.11 117.53 71.86
Closest atoms and distances in Å follow each position.
Fractional coordinates of all 4 atoms:
Cl (0.2500, 0.7500, 0.5000)  4 Re 2.63, 2 Cl 2.88
Re (0.9906, 0.9906, 0.0000)  2 Se 2.49, 2 Cl 2.63
Re (0.5094, 0.5094, 0.0000)  2 Se 2.49, 2 Cl 2.63
Se (0.7500, 0.2500, 0.5000)  4 Re 2.49

Theoretical density, kg/m3: 12229
Relative energy among the computed polymorphs, eV per formula unit: 4.42


5.
VASP calculation (PBE) on a relaxed KCd2TcSe crystal.

abc: 5.6910 4.6143 5.6910
angles: 90.00 90.00 90.00
Closest atoms and distances in Å follow each position.
Fractional coordinates of all 5 atoms:
Cd (0.5000, 0.0000, 0.0000)  2 Se 2.85
K (0.5000, 0.5000, 0.5000)  8 Cd 3.66, 4 Tc 4.02
Tc (0.0000, 0.5000, 0.0000)  2 Se 2.31
Cd (0.0000, 0.0000, 0.5000)  2 Se 2.85
Se (0.0000, 0.0000, 0.0000)  2 Tc 2.31

Total energy, eV/cell: -13.8
Theoretical density, kg/m3: 4899


6.
VASP calculation (PBE) on a relaxed Cr2HgRu crystal.

abc: 6.9532 6.9532 5.5976
angles: 51.60 51.60 90.00
Closest atoms and distances in Å follow each position.
Fractional coordinates of all 8 atoms:
Cr (0.5744, 0.1250, 0.2500)  2 Ru 2.32
Ru (0.2500, 0.7500, 0.5000)  4 Cr 2.32
Hg (0.0000, 0.0000, 0.0000)  2 Ru 2.68, 8 Cr 2.80-3.00
Hg (0.7500, 0.2500, 0.5000)  2 Ru 2.68, 8 Cr 2.80-3.00
Ru (0.5000, 0.5000, 0.0000)  4 Cr 2.32
Cr (0.3750, 0.4256, 0.7500)  2 Ru 2.32
Cr (0.1756, 0.6250, 0.2500)  2 Ru 2.32
Cr (0.8750, 0.8244, 0.7500)  2 Ru 2.32

ΔH_f (0 K), eV/f.u.: 3.51
Theoretical density, kg/m3: 10414


7.
VASP calculation (PBE) on a relaxed NaZr2Mn2 crystal.

abc: 7.5807 7.5807 3.1914
angles: 90.00 90.00 90.00
Closest atoms and distances in Å follow each position.
Fractional coordinates of all 10 atoms:
Na (0.0000, 0.0000, 0.0000)  4 Mn 2.98, 2 Na 3.19, 8 Zr 3.29
Mn (0.6294, 0.1294, 0.0000)  6 Zr 2.67-2.83, 1 Mn 2.77, 2 Na 2.98
Mn (0.8706, 0.6294, 0.0000)  6 Zr 2.67-2.83, 1 Mn 2.77, 2 Na 2.98
Mn (0.1294, 0.3706, 0.0000)  6 Zr 2.67-2.83, 1 Mn 2.77, 2 Na 2.98
Zr (0.3477, 0.1523, 0.5000)  6 Mn 2.67-2.83
Mn (0.3706, 0.8706, 0.0000)  6 Zr 2.67-2.83, 1 Mn 2.77, 2 Na 2.98
Zr (0.6523, 0.8477, 0.5000)  6 Mn 2.67-2.83
Na (0.5000, 0.5000, 0.0000)  4 Mn 2.98, 2 Na 3.19, 8 Zr 3.29
Zr (0.8477, 0.3477, 0.5000)  6 Mn 2.67-2.83
Zr (0.1523, 0.6523, 0.5000)  6 Mn 2.67-2.83

ΔH_f (0 K), eV/f.u.: 2.38
Theoretical density, kg/m3: 5710


8.
VASP calculation (PBE) on a relaxed Al2AgTeSe6 crystal.

abc: 7.2000 8.6092 8.6092
angles: 83.68 81.50 81.50
Closest atoms and distances in Å follow each position.
Fractional coordinates of all 20 atoms:
Se (0.8985, 0.3633, 0.9222)  1 Al 2.41
Al (0.7344, 0.2145, 0.3963)  4 Se 2.39-2.48
Se (0.3985, 0.9222, 0.3633)  1 Al 2.41
Se (0.6313, 0.7978, 0.9794)  1 Al 2.48, 1 Te 2.65
Te (0.2500, 0.2594, 0.7406)  4 Se 2.65-2.85
Ag (0.7500, 0.0964, 0.9036)  6 Se 2.70-2.83
Se (0.0325, 0.2928, 0.4359)  2 Al 2.39-2.42
Se (0.8687, 0.0206, 0.2022)  1 Al 2.48, 1 Te 2.65
Se (0.3687, 0.2022, 0.0206)  1 Al 2.48, 1 Te 2.65
Ag (0.2500, 0.9036, 0.0964)  6 Se 2.70-2.83
Te (0.7500, 0.7406, 0.2594)  4 Se 2.65-2.85
Se (0.1313, 0.9794, 0.7978)  1 Al 2.48, 1 Te 2.65
Se (0.6015, 0.0778, 0.6367)  1 Al 2.41
Se (0.5325, 0.4359, 0.2928)  2 Al 2.39-2.42
Al (0.7656, 0.6037, 0.7855)  4 Se 2.39-2.48
Se (0.9675, 0.7072, 0.5641)  2 Al 2.39-2.42
Se (0.1015, 0.6367, 0.0778)  1 Al 2.41
Al (0.2656, 0.7855, 0.6037)  4 Se 2.39-2.48
Se (0.4675, 0.5641, 0.7072)  2 Al 2.39-2.42
Al (0.2344, 0.3963, 0.2145)  4 Se 2.39-2.48

Total energy, eV/cell: -75.6
Theoretical density, kg/m3: 4875


9.
VASP calculation (PBE) on a relaxed ZrPa2Si crystal.

abc: 5.0363 5.0363 5.0360
angles: 60.00 60.00 60.00
Closest atoms and distances in Å follow each position.
Fractional coordinates of all 4 atoms:
Pa (0.7501, 0.7501, 0.7498)  4 Zr 3.08, 4 Si 3.08
Pa (0.2499, 0.2499, 0.2502)  4 Zr 3.08, 4 Si 3.08
Zr (0.0000, 0.0000, 0.0000)  8 Pa 3.08
Si (0.5000, 0.5000, 0.5000)  8 Pa 3.08

Theoretical density, kg/m3: 10689
Relative energy among the computed polymorphs, eV per formula unit: 1.63